## NbInSe2N (GGA-PBE)

Data for a relaxed structure of NbInSe2N.

Output
DOS at the Fermi energy in states/eV per atom: 0.52
M_tot in μB/f.u.: 0.00
VASP energy in eV per atom: -5.7946

abc: 5.259 5.259 3.939
angles: 90.00 90.00 90.00
Atoms (fractional coordinates):
1 Nb 0.000 0.000 0.000
2 In 0.500 0.500 0.500
3 Se 0.000 0.500 0.000
4 Se 0.500 0.000 0.000
5 N 0.000 0.000 0.500

---

## NbIn2SeN (GGA-PBE)

Data for a relaxed structure of NbIn2SeN.

Output
DOS at the Fermi energy in states/eV per atom: 0.42
M_tot in μB/f.u.: 1.71
VASP energy in eV per atom: -3.8558

abc: 6.040 6.040 4.939
angles: 90.00 90.00 90.00
Atoms (fractional coordinates):
1 Nb 0.000 0.000 0.000
2 In 0.000 0.500 0.500
3 In 0.500 0.000 0.500
4 Se 0.000 0.000 0.500
5 N 0.500 0.500 0.000

---

## SrNb2InN (GGA-PBE)

Data for a relaxed structure of SrNb2InN.

Output
DOS at the Fermi energy in states/eV per atom: 1.24
M_tot in μB/f.u.: 0.90
VASP energy in eV per atom: -4.2373

abc: 5.265 5.265 4.204
angles: 90.00 90.00 90.00
Atoms (fractional coordinates):
1 Sr 0.000 0.000 0.000
2 Nb 0.000 0.500 0.000
3 Nb 0.500 0.000 0.000
4 In 0.500 0.500 0.500
5 N 0.000 0.000 0.500

---

## NbInTeN2 (GGA-PBE)

Data for a relaxed structure of NbInTeN2.

Output
DOS at the Fermi energy in states/eV per atom: 1.33
M_tot in μB/f.u.: 0.00
VASP energy in eV per atom: -4.8028

abc: 4.160 4.160 5.746
angles: 90.00 90.00 90.00
Atoms (fractional coordinates):
1 Nb 0.000 0.000 0.000
2 In 0.500 0.500 0.500
3 Te 0.500 0.500 0.000
4 N 0.000 0.500 0.500
5 N 0.500 0.000 0.500

---

## NbInTeN2 (GGA-PBE)

Data for a relaxed structure of NbInTeN2.

Output
DOS at the Fermi energy in states/eV per atom: 0.46
M_tot in μB/f.u.: 0.79
VASP energy in eV per atom: -6.2205

abc: 4.226 4.226 5.782
angles: 90.00 90.00 90.00
Atoms (fractional coordinates):
1 Nb 0.000 0.000 0.000
2 In 0.500 0.500 0.500
3 Te 0.000 0.000 0.500
4 N 0.000 0.500 0.000
5 N 0.500 0.000 0.000

---

## Ti2NbInN (GGA-PBE)

Data for a relaxed structure of Ti2NbInN.

Output
DOS at the Fermi energy in states/eV per atom: 1.08
M_tot in μB/f.u.: 0.44
VASP energy in eV per atom: -8.0905

abc: 4.152 4.152 4.447
angles: 90.00 90.00 90.00
Atoms (fractional coordinates):
1 Ti 0.000 0.500 0.000
2 Ti 0.500 0.000 0.000
3 Nb 0.000 0.000 0.500
4 In 0.500 0.500 0.500
5 N 0.000 0.000 0.000

---

## NbV2InN (GGA-PBE)

Data for a relaxed structure of NbV2InN.

Output
DOS at the Fermi energy in states/eV per atom: 1.20
M_tot in μB/f.u.: 0.00
VASP energy in eV per atom: -8.2794

abc: 4.029 4.029 4.379
angles: 90.00 90.00 90.00
Atoms (fractional coordinates):
1 Nb 0.000 0.000 0.000
2 V 0.000 0.500 0.500
3 V 0.500 0.000 0.500
4 In 0.500 0.500 0.000
5 N 0.000 0.000 0.500

---

## NbV2InN (GGA-PBE)

Data for a relaxed structure of NbV2InN.

Output
DOS at the Fermi energy in states/eV per atom: 1.33
M_tot in μB/f.u.: 0.00
VASP energy in eV per atom: -7.9020

abc: 3.936 3.936 4.865
angles: 90.00 90.00 90.00
Atoms (fractional coordinates):
1 Nb 0.000 0.000 0.000
2 V 0.000 0.500 0.500
3 V 0.500 0.000 0.500
4 In 0.500 0.500 0.000
5 N 0.500 0.500 0.500